1.
Computed, not measured: ZrP2Se after structural relaxation at the PBEsol level of DFT.

a = 3.5141 Å, b = 3.4043 Å, c = 6.7285 Å
α = 90.00°, β = 91.64°, γ = 90.00°
Last column: nearest neighbours and their distance in Å.
Element x y z (fractional)
Zr 0.0000 0.0000 0.0000  4 P 2.67-2.79, 4 Se 2.71-2.73
P 0.5341 0.0000 0.3063  2 P 2.26
P 0.9576 0.5000 0.3279  2 P 2.26
Se 0.4943 0.5000 0.8227  4 Zr 2.71-2.73

Results
For the total energy, the calculation gives -6.971 eV per atom. The calculation puts the raw formation energy at -0.84 eV per atom. Its space-group type is Pm, No. 6. The calculation puts the density of states at the Fermi level at 0.230 states/eV/atom.


2.
Computed, not measured: LaSnSb2I after structural relaxation at the PBEsol level of DFT.

a = 5.9885 Å, b = 5.9885 Å, c = 5.9235 Å
α = 90.00°, β = 90.00°, γ = 90.00°
Last column: nearest neighbours and their distance in Å.
Element x y z (fractional)
La 0.0000 0.0000 0.0000  2 I 2.96, 4 Sb 2.99
Sn 0.5000 0.5000 0.5000  8 Sb 4.21, 4 I 4.23
Sb 0.0000 0.5000 0.0000  2 La 2.99
Sb 0.5000 0.0000 0.0000  2 La 2.99
I 0.0000 0.0000 0.5000  2 La 2.96

Results
For the total energy, the calculation gives -3.825 eV per atom. The calculation puts the raw formation energy at 0.27 eV per atom. Its space-group type is P4/mmm, No. 123. The calculation puts the density of states at the Fermi level at 0.992 states/eV/atom.


> Which of these has the lowest total energy?

ZrP2Se